Entry 1:
YINF2: relaxed, PBE.

**Raw formation energy**: -1.622 eV/atom
**Total energy**: -5.6380 eV/atom
**Energy relative to the lowest polymorph listed for this composition**: 0.000 eV per formula unit

Cell lengths 4.270, 4.270, 5.126 Å; angles 90.00, 90.00, 90.00 degrees
Last column: magnetic moment on the atom in μB.
Fractional coordinates of all 5 atoms:
I: 0.500 0.500 0.500  0.00
Y: 0.000 0.000 0.000  0.00
N: 0.000 0.000 0.500  0.28
F: 0.000 0.500 0.000  0.00
F: 0.500 0.000 0.000  0.00

=====

Entry 2:
Tb2YTh3: relaxed, PBE.

**E_form**: 0.126 eV per atom
**Total energy**: -6.2045 eV/atom
**Energy relative to the lowest polymorph listed for this composition**: 0.000 eV per formula unit

Cell lengths 6.032, 9.535, 9.370 Å; angles 127.67, 90.00, 108.44 degrees
Fractional coordinates of all 12 atoms:
Tb: 0.538 0.076 0.865
Tb: 0.462 0.924 0.135
Tb: 0.794 0.589 0.136
Tb: 0.206 0.411 0.864
Y: 0.872 0.743 0.867
Y: 0.128 0.257 0.133
Th: 0.287 0.574 0.611
Th: 0.954 0.908 0.612
Th: 0.620 0.240 0.611
Th: 0.380 0.760 0.389
Th: 0.046 0.092 0.388
Th: 0.713 0.426 0.389

=====

Entry 3:
BaNd2ErO5: relaxed, PBE.

**Raw formation energy**: -3.029 eV/atom
**Total energy**: -7.5633 eV/atom

Cell lengths 4.214, 6.098, 7.048 Å; angles 115.64, 107.39, 90.00 degrees
Last column: magnetic moment on the atom in μB.
Fractional coordinates of all 9 atoms:
Ba: 0.000 0.500 0.000  0.06
Nd: 0.217 0.217 0.434  0.04
Nd: 0.783 0.783 0.566  0.04
Er: 0.500 0.000 0.000  0.01
O: 0.645 0.908 0.290  0.00
O: 0.355 0.092 0.710  0.00
O: 0.355 0.618 0.710  0.00
O: 0.645 0.382 0.290  0.00
O: 0.000 0.000 0.000  0.00

=====

Entry 4:
AcTb12Tl3: relaxed, PBE.

**E_form**: -0.108 eV per atom
**Total energy**: -4.2809 eV/atom

Cell lengths 4.908, 4.908, 20.125 Å; angles 90.00, 90.00, 90.00 degrees
Fractional coordinates of all 16 atoms:
Ac: 0.000 0.000 0.000
Tb: 0.500 0.500 0.000
Tb: 0.500 0.500 0.259
Tb: 0.500 0.500 0.500
Tb: 0.500 0.500 0.741
Tb: 0.500 0.000 0.136
Tb: 0.500 0.000 0.379
Tb: 0.500 0.000 0.621
Tb: 0.500 0.000 0.864
Tb: 0.000 0.500 0.136
Tb: 0.000 0.500 0.379
Tb: 0.000 0.500 0.621
Tb: 0.000 0.500 0.864
Tl: 0.000 0.000 0.259
Tl: 0.000 0.000 0.500
Tl: 0.000 0.000 0.741

=====

| no. | total magnetization (Bohr magnetons per cell) |
| --- | --- |
| 1 | 0.4 |
| 2 | 0.0 |
| 3 | 0.4 |
| 4 | 0.0 |